First-principles (PBE) data for an optimized crystal structure of La3PmIr, as listed in Alexandria.

Cell and atoms, written as POSCAR:
```
La3PmIr
1.0
6.521 0.000 0.000
0.000 6.774 -0.001
0.000 0.001 7.993
La Ir Pm
6 2 2
Direct
0.425 0.856 0.450
0.925 0.497 0.452
0.925 0.497 0.950
0.425 0.326 0.201
0.925 0.027 0.701
0.425 0.856 0.952
0.174 0.679 0.701
0.674 0.674 0.201
0.429 0.335 0.701
0.929 0.018 0.201
```

Values from the calculation:
M_tot (μB per cell): 0.0
ΔH_f (0 K) (eV per atom): -0.3028
Total energy (eV per cell): -59.82
Offset from the most stable computed form (meV/atom): 0
V (Å³/atom): 35.31



First-principles (PBE) data for an optimized crystal structure of LaPm4Ir2, as listed in Alexandria.

Cell and atoms, written as POSCAR:
```
LaPm4Ir2
1.0
-0.599 4.373 5.042
-5.782 -4.597 3.300
7.401 -1.859 2.492
La Ir Pm
2 4 8
Direct
0.250 0.843 0.971
0.750 0.157 0.029
0.250 0.633 0.601
0.750 0.367 0.399
0.250 0.268 0.990
0.750 0.732 0.010
0.250 0.989 0.622
0.006 0.590 0.243
0.750 0.745 0.663
0.750 0.011 0.378
0.250 0.255 0.337
0.494 0.590 0.243
0.506 0.410 0.757
0.994 0.410 0.757
```

Values from the calculation:
M_tot (μB per cell): 0.0
ΔH_f (0 K) (eV per atom): -0.4222
Total energy (eV per cell): -89.22
Offset from the most stable computed form (meV/atom): 10
V (Å³/atom): 28.48



First-principles (PBE) data for an optimized crystal structure of LaPm2Ir9, as listed in Alexandria.

Cell and atoms, written as POSCAR:
```
LaPm2Ir9
1.0
5.387 0.000 0.000
2.694 4.665 0.000
2.694 1.555 8.827
Ir Pm La
9 2 1
Direct
0.084 0.580 0.756
0.420 0.420 0.244
0.916 0.420 0.244
0.420 0.916 0.244
0.332 0.332 0.003
0.668 0.668 0.997
0.500 0.500 0.500
0.580 0.580 0.756
0.580 0.084 0.756
0.860 0.860 0.419
0.140 0.140 0.581
0.000 0.000 0.000
```

Values from the calculation:
M_tot (μB per cell): 0.0
ΔH_f (0 K) (eV per atom): -0.5396
Total energy (eV per cell): -100.65
V (Å³/atom): 18.49



The highest total energy belongs to which entry?
La3PmIr